6
Lattice="3.6656 0.0000 0.0000 0.0000 3.6656 0.0000 0.0000 0.0000 15.3605" Properties=species:S:1:pos:R:3 comment="LaNdEr (GGA-PBE, optimized geometry)" relative_energy_ev_per_atom=0.011 n_ef_per_ev_atom=1.73 crystal_system=tetragonal vol_a3_per_cell=206 energy_ev_per_atom=-4.72 spacegroup="I4mm, No. 107" delta_e_f_ev_per_atom=0.03 pbc="T T T"
La 0.0000 0.0000 0.0000
La 1.8328 1.8328 7.6803
Nd 0.0000 0.0000 10.3268
Nd 1.8328 1.8328 2.6465
Er 0.0000 0.0000 5.1316
Er 1.8328 1.8328 12.8119